Computed, not measured: a PBEsol-optimized structure of KCaI3 at the meta-GGA SCAN level of DFT.

```
5
Lattice="-4.3639 2.3435 -3.4822 1.2731 -4.0475 -4.3194 -3.9996 -3.8453 2.4244" Properties=species:S:1:pos:R:3 pbc="T T T"
I 0.6365 -2.0238 -2.1597
I -1.9998 -1.9226 1.2122
I -2.1819 1.1718 -1.7411
Ca 0.0000 0.0000 0.0000
K -3.5452 -2.7746 -2.6886
```

Properties
Energy relative to the elements, uncorrected ... -1.64 eV/atom
DOS(E_F) ... 0.000 states/eV/atom
SG ... Pm-3m, No. 221



Computed, not measured: a PBEsol-optimized structure of KCaI3 at the meta-GGA SCAN level of DFT.

```
10
Lattice="-2.9609 -1.7272 2.9114 6.9511 -0.0638 3.5578 -2.0460 10.5645 4.1867" Properties=species:S:1:pos:R:3 pbc="T T T"
I 2.8272 5.1992 5.9598
I -0.0882 -0.5300 3.0696
I 2.0324 9.3035 7.5863
I -0.8830 3.5743 4.6961
I 2.6949 0.9830 6.7976
I -0.7507 7.7905 3.8583
Ca -1.0230 5.2823 2.0934
Ca 0.0000 0.0000 0.0000
K 2.2393 2.1748 3.5676
K -0.2951 6.5987 7.0883
```

Properties
Energy relative to the elements, uncorrected ... -1.73 eV/atom
DOS(E_F) ... 0.000 states/eV/atom
SG ... Cmcm, No. 63



Computed, not measured: a PBEsol-optimized structure of KCaSbI2 at the meta-GGA SCAN level of DFT.

```
5
Lattice="6.0723 0.0000 0.0000 0.0000 6.0723 0.0000 0.0000 0.0000 6.1372" Properties=species:S:1:pos:R:3 pbc="T T T"
I 0.0000 3.0362 0.0000
I 3.0362 0.0000 0.0000
Sb 0.0000 0.0000 3.0686
Ca 0.0000 0.0000 0.0000
K 3.0362 3.0362 3.0686
```

Properties
Energy relative to the elements, uncorrected ... -0.91 eV/atom
DOS(E_F) ... 0.184 states/eV/atom
SG ... P4/mmm, No. 123